Here is a geometry-optimized Rb2MnWO6 structure from Alexandria via LeMat-Bulk. Energies are from GGA+U.

* E_tot: -6.3403 eV/atom

Unit cell a=6.294 b=6.294 c=5.182 alpha=90.00 beta=90.00 gamma=120.00
Fractional coordinates of all 10 atoms:
Rb1 0.333 0.667 0.312
Rb2 0.667 0.333 0.688
Mn1 0.000 0.000 0.500
W1 0.000 0.000 0.000
O1 0.136 0.271 0.751
O2 0.136 0.864 0.751
O3 0.271 0.136 0.249
O4 0.729 0.864 0.751
O5 0.864 0.136 0.249
O6 0.864 0.729 0.249